VASP calculation (GGA-PBE) on NbCuN after structural relaxation.

Cell lengths 9.392, 3.014, 5.847 Å; angles 90.00, 91.30, 90.00 degrees
Fractional positions:
1 Nb 0.000 0.000 0.000
2 Nb 0.000 0.000 0.500
3 Nb 0.500 0.500 0.000
4 Nb 0.500 0.500 0.500
5 Cu 0.238 0.500 0.192
6 Cu 0.262 0.000 0.808
7 Cu 0.738 0.000 0.192
8 Cu 0.762 0.500 0.808
9 N 0.032 0.500 0.255
10 N 0.468 0.000 0.745
11 N 0.532 0.000 0.255
12 N 0.968 0.500 0.745

Calculated values
DFT total energy (eV per atom): -7.71
Formation energy from raw total energies (meV per atom): -217.6
Space group: No. 12
Spin magnetization (μB per formula unit): 0.000
N(E_F) (states/eV per cell): 6.074

***

VASP calculation (GGA-PBE) on Al3Fe after structural relaxation.

Cell lengths 5.368, 5.368, 4.374 Å; angles 90.00, 90.00, 120.00 degrees
Fractional positions:
1 Al 0.171 0.343 0.250
2 Al 0.171 0.829 0.250
3 Al 0.343 0.171 0.750
4 Al 0.657 0.829 0.250
5 Al 0.829 0.171 0.750
6 Al 0.829 0.657 0.750
7 Fe 0.333 0.667 0.750
8 Fe 0.667 0.333 0.250

Calculated values
DFT total energy (eV per atom): -5.08
Energy relative to the elements (meV/atom): -159
Space group: No. 194
Spin magnetization (μB per formula unit): 0.553
N(E_F) (states/eV per cell): 4.810

***

VASP calculation (GGA-PBE) on Ce8TlIr2 after structural relaxation.

Cell lengths 7.847, 7.847, 5.491 Å; angles 97.70, 97.70, 115.41 degrees
Fractional positions:
1 Ce 0.079 0.079 0.816
2 Ce 0.192 0.406 0.439
3 Ce 0.246 0.754 0.000
4 Ce 0.406 0.192 0.439
5 Ce 0.594 0.808 0.561
6 Ce 0.754 0.246 0.000
7 Ce 0.808 0.594 0.561
8 Ce 0.921 0.921 0.184
9 Tl 0.500 0.500 0.000
10 Ir 0.208 0.792 0.500
11 Ir 0.792 0.208 0.500

Calculated values
DFT total energy (eV per atom): -6.43
Energy relative to the elements (meV/atom): -289
Space group: No. 12
Spin magnetization (μB per formula unit): 4.202
N(E_F) (states/eV per cell): 30.935

***

VASP calculation (GGA-PBE) on Ac4AlZn2Hg after structural relaxation.

Cell lengths 9.737, 9.737, 9.737 Å; angles 33.35, 33.35, 33.35 degrees
Fractional positions:
1 Ac 0.123 0.123 0.123
2 Ac 0.374 0.374 0.374
3 Ac 0.626 0.626 0.626
4 Ac 0.877 0.877 0.877
5 Al 0.000 0.000 0.000
6 Zn 0.252 0.252 0.252
7 Zn 0.748 0.748 0.748
8 Hg 0.500 0.500 0.500

Calculated values
DFT total energy (eV per atom): -3.17
Energy relative to the elements (meV/atom): -293
Space group: No. 166
Spin magnetization (μB per formula unit): 0.000
N(E_F) (states/eV per cell): 7.955